No. 1
Ho3Er4Ag4: optimized geometry, PBE.

## Properties
For the total energy, the calculation gives -44.561 eV/cell. The crystal system is orthorhombic. The formation energy from the elements is -0.1064 eV/atom.

Unit cell a=9.0354 b=9.0354 c=9.0354 alpha=147.88 beta=131.46 gamma=59.41
Sites, in units of the cell vectors:
Ho 0.0000 0.0000 0.0000
Ho 0.3951 0.8951 0.5000
Ho 0.6049 0.1049 0.5000
Er 0.0469 0.3243 0.7226
Er 0.3983 0.6757 0.7226
Er 0.6017 0.3243 0.2774
Er 0.9531 0.6757 0.2774
Ag 0.1950 0.1950 0.0000
Ag 0.3112 0.5000 0.8112
Ag 0.6888 0.5000 0.1888
Ag 0.8050 0.8050 0.0000



No. 2
HoEr5Ag4: optimized geometry, PBE.

## Properties
For the total energy, the calculation gives -41.359 eV/cell. The crystal system is tetragonal. The formation energy from the elements is -0.2562 eV/atom.

Unit cell a=3.5763 b=3.5763 c=19.5138 alpha=90.00 beta=90.00 gamma=90.00
Sites, in units of the cell vectors:
Ho 0.0000 0.0000 0.0000
Er 0.5000 0.5000 0.1252
Er 0.5000 0.5000 0.3120
Er 0.5000 0.5000 0.5000
Er 0.5000 0.5000 0.6880
Er 0.5000 0.5000 0.8748
Ag 0.0000 0.0000 0.2190
Ag 0.0000 0.0000 0.4069
Ag 0.0000 0.0000 0.5931
Ag 0.0000 0.0000 0.7810



No. 3
Ho2ErAg2: optimized geometry, PBE.

## Properties
Its energy relative to the lowest polymorph listed for this composition is 0 meV/atom. For the total energy, the calculation gives -41.289 eV/cell. The crystal system is orthorhombic. The formation energy from the elements is -0.2447 eV/atom.

Unit cell a=13.4706 b=13.4706 c=5.2059 alpha=90.00 beta=90.00 gamma=164.60
Sites, in units of the cell vectors:
Ho 0.0475 0.9525 0.7500
Ho 0.2344 0.7656 0.7500
Ho 0.7656 0.2344 0.2500
Ho 0.9525 0.0475 0.2500
Er 0.1456 0.8544 0.2500
Er 0.8544 0.1456 0.7500
Ag 0.3579 0.6421 0.2500
Ag 0.4520 0.5480 0.7500
Ag 0.5480 0.4520 0.2500
Ag 0.6421 0.3579 0.7500



The highest formation energy from the elements belongs to which entry? Ho3Er4Ag4